Entry one
A relaxed structure of Na3CuSb. Source: the Alexandria database, functional PBE.

POSCAR file:
```
Na3CuSb
1.0
5.8419 0.0000 0.0000
0.0000 5.8419 0.0000
0.0000 0.0000 5.8419
Na Cu Sb
3 1 1
direct
0.0000 0.0000 0.5000
0.0000 0.5000 0.0000
0.5000 0.0000 0.0000
0.5000 0.5000 0.5000
0.0000 0.0000 0.0000
```

Computed properties:
* space-group type: No. 221


Entry two
A relaxed structure of Na3CuSb. Source: the Alexandria database, functional PBE.

POSCAR file:
```
Na3CuSb
1.0
5.2770 0.0000 0.0000
0.0000 5.2770 0.0000
0.0000 0.0000 5.2770
Na Cu Sb
3 1 1
direct
0.0000 0.0000 0.5000
0.0000 0.5000 0.0000
0.5000 0.0000 0.0000
0.0000 0.0000 0.0000
0.5000 0.5000 0.5000
```

Computed properties:
* space-group type: No. 221


Entry three
A relaxed structure of Na3CuSb. Source: the Alexandria database, functional PBE.

POSCAR file:
```
Na3CuSb
1.0
5.9988 -3.3983 0.0000
5.9988 3.3983 0.0000
-3.1067 0.0000 6.5852
Na Cu Sb
6 2 2
direct
0.0149 0.0149 0.2563
0.4807 0.4882 0.7424
0.5118 0.5193 0.2576
0.5316 0.0327 0.3383
0.9673 0.4684 0.6617
0.9851 0.9851 0.7437
0.2502 0.2504 0.0002
0.7496 0.7498 0.9998
0.0116 0.5124 0.2668
0.4876 0.9884 0.7332
```

Computed properties:
* space-group type: No. 5


Going by the energies, entry three is most stable and the next is 340 meV per atom up.


Entry one
A relaxed structure of NaSc3Cu. Source: the Alexandria database, functional PBE.

POSCAR file:
```
NaSc3Cu
1.0
5.1046 0.0000 0.0000
0.0000 5.1046 0.0000
0.0000 0.0000 5.1046
Na Sc Cu
1 3 1
direct
0.0000 0.0000 0.0000
0.0000 0.5000 0.5000
0.5000 0.0000 0.5000
0.5000 0.5000 0.0000
0.5000 0.5000 0.5000
```

Computed properties:
* space-group type: No. 221


Entry two
A relaxed structure of NaSc3Cu. Source: the Alexandria database, functional PBE.

POSCAR file:
```
NaSc3Cu
1.0
5.1316 0.0000 0.0000
0.0000 5.1316 0.0000
0.0000 0.0000 5.1316
Na Sc Cu
1 3 1
direct
0.0000 0.0000 0.0000
0.0000 0.0000 0.5000
0.0000 0.5000 0.0000
0.5000 0.0000 0.0000
0.5000 0.5000 0.5000
```

Computed properties:
* space-group type: No. 221


Going by the energies, entry one is most stable and the next is 978 meV per atom up.


Entry one
A relaxed structure of Na2ScCu2. Source: the Alexandria database, functional PBE.

POSCAR file:
```
Na2ScCu2
1.0
-1.9113 1.9113 6.8620
1.9113 -1.9113 6.8620
1.9113 1.9113 -6.8620
Na Sc Cu
2 1 2
direct
0.2500 0.7500 0.5000
0.7500 0.2500 0.5000
0.0000 0.0000 0.0000
0.4148 0.4148 0.0000
0.5852 0.5852 0.0000
```

Computed properties:
* space-group type: No. 139


Entry two
A relaxed structure of Na2ScCu2. Source: the Alexandria database, functional PBE.

POSCAR file:
```
Na2ScCu2
1.0
6.7461 0.0000 0.0000
0.0000 6.7461 0.0000
0.0000 0.0000 4.8284
Na Sc Cu
4 2 4
direct
0.1696 0.3304 0.0000
0.3304 0.8304 0.0000
0.6696 0.1696 0.0000
0.8304 0.6696 0.0000
0.0000 0.0000 0.5000
0.5000 0.5000 0.5000
0.1243 0.6243 0.5000
0.3757 0.1243 0.5000
0.6243 0.8757 0.5000
0.8757 0.3757 0.5000
```

Computed properties:
* space-group type: No. 127


Going by the energies, entry one is most stable and the next is 39 meV per atom up.


Entry one
A relaxed structure of NaSc2Cu2. Source: the Alexandria database, functional PBE.

POSCAR file:
```
NaSc2Cu2
1.0
7.7318 0.0000 0.0000
0.0000 7.7318 0.0000
0.0000 0.0000 3.2786
Na Sc Cu
2 4 4
direct
0.0000 0.0000 0.0000
0.5000 0.5000 0.0000
0.1569 0.3431 0.5000
0.3431 0.8431 0.5000
0.6569 0.1569 0.5000
0.8431 0.6569 0.5000
0.1269 0.6269 0.0000
0.3731 0.1269 0.0000
0.6269 0.8731 0.0000
0.8731 0.3731 0.0000
```

Computed properties:
* space-group type: No. 127


Entry two
A relaxed structure of NaSc2Cu2. Source: the Alexandria database, functional PBE.

POSCAR file:
```
NaSc2Cu2
1.0
7.9725 0.0000 0.0000
0.0000 7.9725 0.0000
0.0000 0.0000 3.0690
Na Sc Cu
2 4 4
direct
0.0000 0.0000 0.0000
0.5000 0.5000 0.0000
0.1426 0.3574 0.0000
0.3574 0.8574 0.0000
0.6426 0.1426 0.0000
0.8574 0.6426 0.0000
0.1457 0.6457 0.5000
0.3543 0.1457 0.5000
0.6457 0.8543 0.5000
0.8543 0.3543 0.5000
```

Computed properties:
* space-group type: No. 127


Going by the energies, entry one is most stable and the next is 60 meV per atom up.


Entry one
A relaxed structure of Na2ScCu. Source: the Alexandria database, functional PBE.

POSCAR file:
```
Na2ScCu
1.0
-4.3220 4.3220 2.7492
4.3220 -4.3220 2.7492
4.3220 4.3220 -2.7492
Na Sc Cu
4 2 2
direct
0.0635 0.6250 0.9385
0.3750 0.3135 0.4385
0.6865 0.1250 0.0615
0.8750 0.9365 0.5615
0.2500 0.7500 0.5000
0.5000 0.5000 0.0000
0.0000 0.0000 0.0000
0.7500 0.2500 0.5000
```

Computed properties:
* space-group type: No. 122


Entry two
A relaxed structure of Na2ScCu. Source: the Alexandria database, functional PBE.

POSCAR file:
```
Na2ScCu
1.0
0.0000 3.5651 3.5651
3.5651 0.0000 3.5651
3.5651 3.5651 0.0000
Na Sc Cu
2 1 1
direct
0.2500 0.2500 0.2500
0.7500 0.7500 0.7500
0.0000 0.0000 0.0000
0.5000 0.5000 0.5000
```

Computed properties:
* space-group type: No. 225


Going by the energies, entry one is most stable and the next is 63 meV per atom up.